# 1
# GGA-PBEsol Mg2ZnIn, optimized geometry
data_Mg2ZnIn
_chemical_formula_sum 'Mg4 Zn2 In2'
_cell_length_a 4.288
_cell_length_b 4.301
_cell_length_c 8.731
_cell_angle_alpha 90.00
_cell_angle_beta 90.00
_cell_angle_gamma 90.00
_symmetry_space_group_name_H-M 'I m m 2'
_symmetry_Int_Tables_number 44
loop_
_symmetry_equiv_pos_as_xyz
'x,y,z'
'-x,-y,z'
'-x,y,z'
'x,-y,z'
'x+1/2,y+1/2,z+1/2'
'-x+1/2,-y+1/2,z+1/2'
'-x+1/2,y+1/2,z+1/2'
'x+1/2,-y+1/2,z+1/2'
loop_
_atom_site_label
_atom_site_type_symbol
_atom_site_fract_x
_atom_site_fract_y
_atom_site_fract_z
_atom_site_occupancy
Mg1 Mg 0.000 0.000 0.000 1
Mg2 Mg 0.000 0.500 0.250 1
Zn1 Zn 0.000 0.500 0.750 1
In1 In 0.000 0.000 0.500 1
# - calculated total energy (eV per atom) = -2.050
# - DFT formation energy (eV/atom) = -0.051

---

# 2
# GGA-PBEsol Ba3CaIr2O9, optimized geometry
data_Ba3CaIr2O9
_chemical_formula_sum 'Ba12 Ca4 Ir8 O36'
_cell_length_a 5.879
_cell_length_b 10.166
_cell_length_c 14.559
_cell_angle_alpha 90.00
_cell_angle_beta 91.16
_cell_angle_gamma 90.00
_symmetry_space_group_name_H-M 'C 1 2/c 1'
_symmetry_Int_Tables_number 15
loop_
_symmetry_equiv_pos_as_xyz
'x,y,z'
'-x,-y,-z'
'-x,y,-z+1/2'
'x,-y,z+1/2'
'x+1/2,y+1/2,z'
'-x+1/2,-y+1/2,-z'
'-x+1/2,y+1/2,-z+1/2'
'x+1/2,-y+1/2,z+1/2'
loop_
_atom_site_label
_atom_site_type_symbol
_atom_site_fract_x
_atom_site_fract_y
_atom_site_fract_z
_atom_site_occupancy
Ba1 Ba 0.000 0.002 0.250 1
Ba2 Ba 0.004 0.333 0.587 1
Ca1 Ca 0.000 0.000 0.000 1
Ir1 Ir 0.008 0.334 0.163 1
O1 O 0.000 0.491 0.250 1
O2 O 0.015 0.179 0.088 1
O3 O 0.216 0.411 0.418 1
O4 O 0.235 0.256 0.256 1
O5 O 0.248 0.411 0.093 1
# - E_form (uncorrected) (eV/atom) = -1.99
# - calculated total energy (eV per atom) = -7.023

---

# 3
# GGA-PBEsol CsSn2I, optimized geometry
data_CsSn2I
_chemical_formula_sum 'Cs4 Sn8 I4'
_cell_length_a 8.196
_cell_length_b 8.196
_cell_length_c 8.196
_cell_angle_alpha 90.00
_cell_angle_beta 90.00
_cell_angle_gamma 90.00
_symmetry_space_group_name_H-M 'F m -3 m'
_symmetry_Int_Tables_number 225
_symmetry_space_group_name_Hall '-F 4 2 3'
loop_
_atom_site_label
_atom_site_type_symbol
_atom_site_fract_x
_atom_site_fract_y
_atom_site_fract_z
_atom_site_occupancy
Cs1 Cs 0.000 0.000 0.000 1
Sn1 Sn 0.250 0.250 0.250 1
I1 I 0.000 0.000 0.500 1
# - E_form (uncorrected) (eV/atom) = 0.24
# - calculated total energy (eV per atom) = -2.569

---

# 4
# GGA-PBEsol Er2GaCu, optimized geometry
data_Er2GaCu
_chemical_formula_sum 'Er2 Ga1 Cu1'
_cell_length_a 3.377
_cell_length_b 3.377
_cell_length_c 7.075
_cell_angle_alpha 90.00
_cell_angle_beta 90.00
_cell_angle_gamma 90.00
_symmetry_space_group_name_H-M 'P 4/m m m'
_symmetry_Int_Tables_number 123
_symmetry_space_group_name_Hall '-P 4 2'
loop_
_atom_site_label
_atom_site_type_symbol
_atom_site_fract_x
_atom_site_fract_y
_atom_site_fract_z
_atom_site_occupancy
Er1 Er 0.000 0.000 0.240 1
Ga1 Ga 0.500 0.500 0.500 1
Cu1 Cu 0.500 0.500 0.000 1
# - calculated total energy (eV per atom) = -4.819
# - DFT formation energy (eV/atom) = -0.437

---

# 5
# GGA-PBEsol Ca2BTeOs, optimized geometry
data_Ca2BTeOs
_chemical_formula_sum 'Ca2 B1 Te1 Os1'
_cell_length_a 5.124
_cell_length_b 5.124
_cell_length_c 4.018
_cell_angle_alpha 90.00
_cell_angle_beta 90.00
_cell_angle_gamma 90.00
_symmetry_space_group_name_H-M 'P 4/m m m'
_symmetry_Int_Tables_number 123
_symmetry_space_group_name_Hall '-P 4 2'
loop_
_atom_site_label
_atom_site_type_symbol
_atom_site_fract_x
_atom_site_fract_y
_atom_site_fract_z
_atom_site_occupancy
Ca1 Ca 0.000 0.500 0.000 1
B1 B 0.000 0.000 0.000 1
Te1 Te 0.500 0.500 0.500 1
Os1 Os 0.000 0.000 0.500 1
# - E_form (uncorrected) (eV/atom) = -0.23
# - calculated total energy (eV per atom) = -5.634

---

# 6
# GGA-PBEsol Fe2AsRu, optimized geometry
data_Fe2AsRu
_chemical_formula_sum 'Fe2 As1 Ru1'
_cell_length_a 3.583
_cell_length_b 3.583
_cell_length_c 3.888
_cell_angle_alpha 90.00
_cell_angle_beta 90.00
_cell_angle_gamma 90.00
_symmetry_space_group_name_H-M 'P 4/m m m'
_symmetry_Int_Tables_number 123
_symmetry_space_group_name_Hall '-P 4 2'
loop_
_atom_site_label
_atom_site_type_symbol
_atom_site_fract_x
_atom_site_fract_y
_atom_site_fract_z
_atom_site_occupancy
Fe1 Fe 0.000 0.500 0.000 1
As1 As 0.000 0.000 0.500 1
Ru1 Ru 0.500 0.500 0.500 1
# - calculated total energy (eV per atom) = -8.215
# - DFT formation energy (eV/atom) = 0.087

---

# 7
# GGA-PBEsol ScSnIr3, optimized geometry
data_ScSnIr3
_chemical_formula_sum 'Sc1 Sn1 Ir3'
_cell_length_a 4.755
_cell_length_b 4.755
_cell_length_c 4.755
_cell_angle_alpha 90.00
_cell_angle_beta 90.00
_cell_angle_gamma 90.00
_symmetry_space_group_name_H-M 'P m -3 m'
_symmetry_Int_Tables_number 221
_symmetry_space_group_name_Hall '-P 4 2 3'
loop_
_atom_site_label
_atom_site_type_symbol
_atom_site_fract_x
_atom_site_fract_y
_atom_site_fract_z
_atom_site_occupancy
Sc1 Sc 0.000 0.000 0.000 1
Sn1 Sn 0.500 0.500 0.500 1
Ir1 Ir 0.000 0.500 0.500 1
# - calculated total energy (eV per atom) = -6.875
# - DFT formation energy (eV/atom) = 1.192

---

# 8
# GGA-PBEsol SiTc2Ru, optimized geometry
data_SiTc2Ru
_chemical_formula_sum 'Si2 Tc4 Ru2'
_cell_length_a 2.912
_cell_length_b 4.517
_cell_length_c 8.260
_cell_angle_alpha 90.00
_cell_angle_beta 90.00
_cell_angle_gamma 90.00
_symmetry_space_group_name_H-M 'C m m m'
_symmetry_Int_Tables_number 65
_symmetry_space_group_name_Hall '-C 2 2'
loop_
_atom_site_label
_atom_site_type_symbol
_atom_site_fract_x
_atom_site_fract_y
_atom_site_fract_z
_atom_site_occupancy
Si1 Si 0.000 0.000 0.000 1
Tc1 Tc 0.000 0.500 0.236 1
Ru1 Ru 0.000 0.000 0.500 1
# - E_form (uncorrected) (eV/atom) = 0.17
# - calculated total energy (eV per atom) = -9.441

---

# 9
# GGA-PBEsol LiLa3N, optimized geometry
data_LiLa3N
_chemical_formula_sum 'Li1 La3 N1'
_cell_length_a 5.085
_cell_length_b 5.085
_cell_length_c 5.085
_cell_angle_alpha 90.00
_cell_angle_beta 90.00
_cell_angle_gamma 90.00
_symmetry_space_group_name_H-M 'P m -3 m'
_symmetry_Int_Tables_number 221
_symmetry_space_group_name_Hall '-P 4 2 3'
loop_
_atom_site_label
_atom_site_type_symbol
_atom_site_fract_x
_atom_site_fract_y
_atom_site_fract_z
_atom_site_occupancy
Li1 Li 0.000 0.000 0.000 1
La1 La 0.000 0.500 0.500 1
N1 N 0.500 0.500 0.500 1
# - E_form (uncorrected) (eV/atom) = -0.52
# - calculated total energy (eV per atom) = -5.825

---

# 10
# GGA-PBEsol Zr2FeRh, optimized geometry
data_Zr2FeRh
_chemical_formula_sum 'Zr6 Fe3 Rh3'
_cell_length_a 3.6491
_cell_length_b 3.6491
_cell_length_c 19.4219
_cell_angle_alpha 90.00
_cell_angle_beta 90.00
_cell_angle_gamma 120.00
_symmetry_space_group_name_H-M 'R 3 m'
_symmetry_Int_Tables_number 160
_symmetry_space_group_name_Hall 'R 3 -2"'
loop_
_atom_site_label
_atom_site_type_symbol
_atom_site_fract_x
_atom_site_fract_y
_atom_site_fract_z
_atom_site_occupancy
Zr1 Zr 0.0000 0.0000 0.0000 1
Zr2 Zr 0.0000 0.0000 0.2000 1
Fe1 Fe 0.0000 0.0000 0.7379 1
Rh1 Rh 0.0000 0.0000 0.4545 1
# - calculated total energy (eV per atom) = -8.688
# - DFT formation energy (eV/atom) = 0.133

---

# 11
# GGA-PBEsol BaNa2Tl2, optimized geometry
data_BaNa2Tl2
_chemical_formula_sum 'Ba2 Na4 Tl4'
_cell_length_a 4.639
_cell_length_b 4.639
_cell_length_c 15.434
_cell_angle_alpha 90.00
_cell_angle_beta 90.00
_cell_angle_gamma 90.00
_symmetry_space_group_name_H-M 'I 4/m m m'
_symmetry_Int_Tables_number 139
_symmetry_space_group_name_Hall '-I 4 2'
loop_
_atom_site_label
_atom_site_type_symbol
_atom_site_fract_x
_atom_site_fract_y
_atom_site_fract_z
_atom_site_occupancy
Ba1 Ba 0.000 0.000 0.000 1
Na1 Na 0.000 0.500 0.250 1
Tl1 Tl 0.000 0.000 0.396 1
# - calculated total energy (eV per atom) = -2.222
# - DFT formation energy (eV/atom) = -0.180

---

# 12
# GGA-PBEsol Hf2Be2Pd, optimized geometry
data_Hf2Be2Pd
_chemical_formula_sum 'Hf4 Be4 Pd2'
_cell_length_a 6.293
_cell_length_b 6.293
_cell_length_c 3.642
_cell_angle_alpha 90.00
_cell_angle_beta 90.00
_cell_angle_gamma 90.00
_symmetry_space_group_name_H-M 'P 4/m b m'
_symmetry_Int_Tables_number 127
_symmetry_space_group_name_Hall '-P 4 2ab'
loop_
_atom_site_label
_atom_site_type_symbol
_atom_site_fract_x
_atom_site_fract_y
_atom_site_fract_z
_atom_site_occupancy
Hf1 Hf 0.172 0.328 0.000 1
Be1 Be 0.123 0.623 0.500 1
Pd1 Pd 0.000 0.000 0.500 1
# - calculated total energy (eV per atom) = -7.426
# - DFT formation energy (eV/atom) = -0.433

---

# 13
# GGA-PBEsol ScTa2Fe, optimized geometry
data_ScTa2Fe
_chemical_formula_sum 'Sc2 Ta4 Fe2'
_cell_length_a 5.346
_cell_length_b 9.221
_cell_length_c 2.808
_cell_angle_alpha 90.00
_cell_angle_beta 109.16
_cell_angle_gamma 90.00
_symmetry_space_group_name_H-M 'C 1 2/m 1'
_symmetry_Int_Tables_number 12
loop_
_symmetry_equiv_pos_as_xyz
'x,y,z'
'-x,-y,-z'
'-x,y,-z'
'x,-y,z'
'x+1/2,y+1/2,z'
'-x+1/2,-y+1/2,-z'
'-x+1/2,y+1/2,-z'
'x+1/2,-y+1/2,z'
loop_
_atom_site_label
_atom_site_type_symbol
_atom_site_fract_x
_atom_site_fract_y
_atom_site_fract_z
_atom_site_occupancy
Sc1 Sc 0.000 0.000 0.000 1
Ta1 Ta 0.250 0.250 0.500 1
Fe1 Fe 0.000 0.500 0.000 1
# - calculated total energy (eV per atom) = -9.936
# - DFT formation energy (eV/atom) = 0.232

---

# 14
# GGA-PBEsol NiBiP2O, optimized geometry
data_NiBiP2O
_chemical_formula_sum 'Ni1 Bi1 P2 O1'
_cell_length_a 4.688
_cell_length_b 4.688
_cell_length_c 3.570
_cell_angle_alpha 90.00
_cell_angle_beta 90.00
_cell_angle_gamma 90.00
_symmetry_space_group_name_H-M 'P 4/m m m'
_symmetry_Int_Tables_number 123
_symmetry_space_group_name_Hall '-P 4 2'
loop_
_atom_site_label
_atom_site_type_symbol
_atom_site_fract_x
_atom_site_fract_y
_atom_site_fract_z
_atom_site_occupancy
Ni1 Ni 0.000 0.000 0.000 1
Bi1 Bi 0.500 0.500 0.500 1
P1 P 0.000 0.500 0.000 1
O1 O 0.000 0.000 0.500 1
# - E_form (uncorrected) (eV/atom) = 0.08
# - calculated total energy (eV per atom) = -5.380